Density functional theory data (PBE-GGA) for a relaxed Zr2Re2Mo crystal.

The structure in CIF format:
```
data_Zr2Re2Mo
_chemical_formula_sum 'Zr4 Re4 Mo2'
_cell_length_a 4.128
_cell_length_b 4.128
_cell_length_c 11.842
_cell_angle_alpha 90.00
_cell_angle_beta 90.00
_cell_angle_gamma 90.00
_space_group_name_H-M_alt 'I 4/m m m'
_space_group_IT_number 139
_space_group_name_Hall '-I 4 2'
loop_
_atom_site_label
_atom_site_fract_x
_atom_site_fract_y
_atom_site_fract_z
Zr1 0.000 0.500 0.250
Re1 0.000 0.000 0.097
Mo1 0.000 0.000 0.500
```

electronic total energy: -9.568 eV/atom
formation energy from the elements: 4.98 eV/f.u.

---

Density functional theory data (PBE-GGA) for a relaxed Zr2ReMo crystal.

The structure in CIF format:
```
data_Zr2ReMo
_chemical_formula_sum 'Zr6 Re3 Mo3'
_cell_length_a 3.1555
_cell_length_b 3.1555
_cell_length_c 26.2139
_cell_angle_alpha 90.00
_cell_angle_beta 90.00
_cell_angle_gamma 120.00
_space_group_name_H-M_alt 'R -3 m'
_space_group_IT_number 166
_space_group_name_Hall '-R 3 2"'
loop_
_atom_site_label
_atom_site_fract_x
_atom_site_fract_y
_atom_site_fract_z
Zr1 0.0000 0.0000 0.2480
Re1 0.0000 0.0000 0.5000
Mo1 0.0000 0.0000 0.0000
```

electronic total energy: -9.851 eV/atom
formation energy from the elements: 0.97 eV/f.u.

---

Density functional theory data (PBE-GGA) for a relaxed ZrRe2Mo crystal.

The structure in CIF format:
```
data_ZrRe2Mo
_chemical_formula_sum 'Zr4 Re8 Mo4'
_cell_length_a 6.423
_cell_length_b 6.423
_cell_length_c 6.423
_cell_angle_alpha 90.00
_cell_angle_beta 90.00
_cell_angle_gamma 90.00
_space_group_name_H-M_alt 'F m -3 m'
_space_group_IT_number 225
_space_group_name_Hall '-F 4 2 3'
loop_
_atom_site_label
_atom_site_fract_x
_atom_site_fract_y
_atom_site_fract_z
Zr1 0.000 0.000 0.000
Re1 0.250 0.250 0.250
Mo1 0.000 0.000 0.500
```

electronic total energy: -11.180 eV/atom
formation energy from the elements: -0.45 eV/f.u.

---

Density functional theory data (PBE-GGA) for a relaxed ZrReMo2 crystal.

The structure in CIF format:
```
data_ZrReMo2
_chemical_formula_sum 'Zr4 Re4 Mo8'
_cell_length_a 7.384
_cell_length_b 7.384
_cell_length_c 5.471
_cell_angle_alpha 90.00
_cell_angle_beta 90.00
_cell_angle_gamma 90.00
_space_group_name_H-M_alt 'I -4 2 d'
_space_group_IT_number 122
_space_group_name_Hall 'I -4 2bw'
loop_
_atom_site_label
_atom_site_fract_x
_atom_site_fract_y
_atom_site_fract_z
Zr1 0.000 0.000 0.000
Re1 0.000 0.000 0.500
Mo1 0.215 0.250 0.625
```

electronic total energy: -10.068 eV/atom
formation energy from the elements: 2.38 eV/f.u.

---

Density functional theory data (PBE-GGA) for a relaxed ZrReMo2 crystal.

The structure in CIF format:
```
data_ZrReMo2
_chemical_formula_sum 'Zr1 Re1 Mo2'
_cell_length_a 2.841
_cell_length_b 4.518
_cell_length_c 5.323
_cell_angle_alpha 90.00
_cell_angle_beta 100.45
_cell_angle_gamma 90.00
_space_group_name_H-M_alt 'P 1 2/m 1'
_space_group_IT_number 10
loop_
_space_group_symop_operation_xyz
'x,y,z'
'-x,-y,-z'
'-x,y,-z'
'x,-y,z'
loop_
_atom_site_label
_atom_site_fract_x
_atom_site_fract_y
_atom_site_fract_z
Zr1 0.000 0.000 0.000
Re1 0.500 0.000 0.500
Mo1 0.256 0.500 0.743
```

electronic total energy: -10.690 eV/atom
formation energy from the elements: -0.10 eV/f.u.

---

Density functional theory data (PBE-GGA) for a relaxed ZrReMo2 crystal.

The structure in CIF format:
```
data_ZrReMo2
_chemical_formula_sum 'Zr2 Re2 Mo4'
_cell_length_a 3.218
_cell_length_b 4.578
_cell_length_c 9.174
_cell_angle_alpha 90.00
_cell_angle_beta 90.00
_cell_angle_gamma 90.00
_space_group_name_H-M_alt 'I m m m'
_space_group_IT_number 71
_space_group_name_Hall '-I 2 2'
loop_
_atom_site_label
_atom_site_fract_x
_atom_site_fract_y
_atom_site_fract_z
Zr1 0.000 0.000 0.000
Re1 0.000 0.000 0.500
Mo1 0.000 0.500 0.242
```

electronic total energy: -10.745 eV/atom
formation energy from the elements: -0.32 eV/f.u.

---

Density functional theory data (PBE-GGA) for a relaxed ZrReMo2 crystal.

The structure in CIF format:
```
data_ZrReMo2
_chemical_formula_sum 'Zr2 Re2 Mo4'
_cell_length_a 5.560
_cell_length_b 9.079
_cell_length_c 2.818
_cell_angle_alpha 90.00
_cell_angle_beta 109.62
_cell_angle_gamma 90.00
_space_group_name_H-M_alt 'C 1 2/m 1'
_space_group_IT_number 12
loop_
_space_group_symop_operation_xyz
'x,y,z'
'-x,-y,-z'
'-x,y,-z'
'x,-y,z'
'x+1/2,y+1/2,z'
'-x+1/2,-y+1/2,-z'
'-x+1/2,y+1/2,-z'
'x+1/2,-y+1/2,z'
loop_
_atom_site_label
_atom_site_fract_x
_atom_site_fract_y
_atom_site_fract_z
Zr1 0.000 0.000 0.000
Re1 0.000 0.500 0.000
Mo1 0.250 0.250 0.500
```

electronic total energy: -10.688 eV/atom
formation energy from the elements: -0.09 eV/f.u.

---

Density functional theory data (PBE-GGA) for a relaxed Zr3ReMo crystal.

The structure in CIF format:
```
data_Zr3ReMo
_chemical_formula_sum 'Zr3 Re1 Mo1'
_cell_length_a 5.024
_cell_length_b 5.024
_cell_length_c 5.024
_cell_angle_alpha 90.00
_cell_angle_beta 90.00
_cell_angle_gamma 90.00
_space_group_name_H-M_alt 'P m -3 m'
_space_group_IT_number 221
_space_group_name_Hall '-P 4 2 3'
loop_
_atom_site_label
_atom_site_fract_x
_atom_site_fract_y
_atom_site_fract_z
Zr1 0.000 0.000 0.500
Re1 0.000 0.000 0.000
Mo1 0.500 0.500 0.500
```

electronic total energy: -8.751 eV/atom
formation energy from the elements: 5.17 eV/f.u.

---

Repeat the sixth record exactly.
Density functional theory data (PBE-GGA) for a relaxed ZrReMo2 crystal.

The structure in CIF format:
```
data_ZrReMo2
_chemical_formula_sum 'Zr2 Re2 Mo4'
_cell_length_a 3.218
_cell_length_b 4.578
_cell_length_c 9.174
_cell_angle_alpha 90.00
_cell_angle_beta 90.00
_cell_angle_gamma 90.00
_space_group_name_H-M_alt 'I m m m'
_space_group_IT_number 71
_space_group_name_Hall '-I 2 2'
loop_
_atom_site_label
_atom_site_fract_x
_atom_site_fract_y
_atom_site_fract_z
Zr1 0.000 0.000 0.000
Re1 0.000 0.000 0.500
Mo1 0.000 0.500 0.242
```

electronic total energy: -10.745 eV/atom
formation energy from the elements: -0.32 eV/f.u.

---

Q: formation energy from the elements of number 6 (ZrReMo2)?
A: -0.32 eV/f.u.

---

Q: electronic total energy of number 6 (ZrReMo2)?
A: -10.745 eV/atom

---

What did the fifth record say?
Density functional theory data (PBE-GGA) for a relaxed ZrReMo2 crystal.

The structure in CIF format:
```
data_ZrReMo2
_chemical_formula_sum 'Zr1 Re1 Mo2'
_cell_length_a 2.841
_cell_length_b 4.518
_cell_length_c 5.323
_cell_angle_alpha 90.00
_cell_angle_beta 100.45
_cell_angle_gamma 90.00
_space_group_name_H-M_alt 'P 1 2/m 1'
_space_group_IT_number 10
loop_
_space_group_symop_operation_xyz
'x,y,z'
'-x,-y,-z'
'-x,y,-z'
'x,-y,z'
loop_
_atom_site_label
_atom_site_fract_x
_atom_site_fract_y
_atom_site_fract_z
Zr1 0.000 0.000 0.000
Re1 0.500 0.000 0.500
Mo1 0.256 0.500 0.743
```

electronic total energy: -10.690 eV/atom
formation energy from the elements: -0.10 eV/f.u.